The following is a DFT calculation (PBE) of AcLaTm2Bi4 after structural relaxation.

Lattice parameters (Å, degrees): 4.6283 7.9695 8.0110 70.43 90.00 90.00
Fractional positions:
Ac1 0.5000 0.5000 0.0000
La1 0.0000 0.5000 0.5000
Tm1 0.0000 0.0000 0.0000
Tm2 0.5000 0.0000 0.5000
Bi1 0.0000 0.7731 0.7378
Bi2 0.0000 0.2269 0.2622
Bi3 0.5000 0.7695 0.2480
Bi4 0.5000 0.2305 0.7520

Output
- space group = No. 10
- crystal system = monoclinic
- total DFT energy (no corrections) (eV/atom) = -5.079
- mass density (g cm⁻³) = 9.18